A plane-wave DFT calculation with PBE with a Hubbard U was carried out for a relaxed PmMnIn4O8 crystal.

As for the density of states at the Fermi level: 1.26 states/eV/f.u. The energy is -6.31 eV/atom. For the mass density, the calculation gives 6.3 Mg/m³.

The structure belongs to space group R3m (No. 160, hexagonal axes); the cell edges are 6.6483, 6.6483 and 16.2011 Å and the angles 90.00°, 90.00° and 120.00°. Symmetry generates all atoms from Pm at (0.0000, 0.0000, 0.0000), Mn at (0.0000, 0.0000, 0.6227), In at (0.0000, 0.0000, 0.2448), In at (0.0010, 0.5005, 0.1226), O at (0.0000, 0.0000, 0.3816), O at (0.0000, 0.0000, 0.8601), O at (0.0348, 0.5174, 0.3782) and O at (0.1802, 0.3603, 0.2008).